The following is a DFT calculation (PBE) of a relaxed structure of KZnTe2.

Properties
Crystal system ... orthorhombic
Electronic total energy ... -2.338 eV/atom
DOS(E_F) ... 1.8 states/eV/cell
Formation energy without anion corrections ... -174 meV per atom
V ... 30.04 Å³ per atom
Calculated density ... 5.0 g/cm3
Magnetic moment ... 0.000 μB/cell

a = 4.7984 Å, b = 4.5258 Å, c = 5.5324 Å
α = 90.00°, β = 90.00°, γ = 90.00°
Fractional positions:
Te (0.5000, 0.5000, 0.0000)
Te (0.0000, 0.0000, 0.0000)
Zn (0.5000, 0.0000, 0.5000)
K (0.0000, 0.5000, 0.5000)

---

The following is a DFT calculation (PBE) of a relaxed structure of GeBN2.

Properties
Crystal system ... cubic
Electronic total energy ... -4.911 eV/atom
DOS(E_F) ... 1.7 states/eV/cell
Formation energy without anion corrections ... 2075 meV per atom
V ... 8.71 Å³ per atom
Calculated density ... 5.3 g/cm3
Magnetic moment ... 0.000 μB/cell

a = 3.6663 Å, b = 3.6663 Å, c = 3.6663 Å
α = 60.00°, β = 60.00°, γ = 60.00°
Fractional positions:
B (0.0000, 0.0000, 0.0000)
Ge (0.5000, 0.5000, 0.5000)
N (0.7500, 0.7500, 0.7500)
N (0.2500, 0.2500, 0.2500)

---

The following is a DFT calculation (PBE) of a relaxed structure of ThNi2B2C.

Properties
Crystal system ... tetragonal
Energy relative to the elements ... -0.49 eV/atom
Electronic total energy ... -7.420 eV/atom
DOS(E_F) ... 3.9 states/eV/cell
V ... 11.53 Å³ per atom
Calculated density ... 9.2 g/cm3
Magnetic moment ... 0.000 μB/cell

a = 3.7116 Å, b = 3.7116 Å, c = 5.6697 Å
α = 109.16°, β = 109.16°, γ = 89.92°
Fractional positions:
B (0.8501, 0.8501, 0.7000)
B (0.1500, 0.1500, 0.3000)
Th (0.5000, 0.5000, 0.0000)
Ni (0.2502, 0.7499, 0.5000)
Ni (0.7499, 0.2502, 0.5000)
C (0.0000, 0.0000, 0.0000)